Record 1
Entry from the Alexandria database: an optimized crystal structure of WSeBr2 (PBE). Values from VASP.

Geometry as Quantum ESPRESSO input:
```
&SYSTEM
  ibrav = 0, nat = 4, ntyp = 3
/
ATOMIC_SPECIES
Br 79.90 Br.upf
Se 78.96 Se.upf
W 183.84 W.upf
CELL_PARAMETERS angstrom
-1.931 2.080 -1.582
0.834 -2.903 -4.834
-3.686 -2.681 0.974
ATOMIC_POSITIONS angstrom
Br 0.000 0.000 0.000
Br -0.549 -0.412 -3.208
Se -2.809 -0.301 -0.304
W -1.426 -2.792 -1.930
```

- energy relative to the elements, uncorrected (meV/atom) = 1107
- relative energy among the computed polymorphs (meV per atom) = 1306.6
- calculated density (g/cm3) = 8.13

Record 2
Entry from the Alexandria database: an optimized crystal structure of W2Se3Br (PBE). Values from VASP.

Geometry as Quantum ESPRESSO input:
```
&SYSTEM
  ibrav = 0, nat = 12, ntyp = 3
/
ATOMIC_SPECIES
W 183.84 W.upf
Se 78.96 Se.upf
Br 79.90 Br.upf
CELL_PARAMETERS angstrom
3.267 0.000 0.673
1.664 8.380 0.191
-0.434 -2.267 10.376
ATOMIC_POSITIONS angstrom
W 3.167 1.087 9.428
W 1.330 5.025 1.813
W 1.914 -0.196 7.242
W 2.582 6.309 3.999
Se -0.020 -1.404 8.364
Se 4.516 7.516 2.877
Se 2.905 3.415 10.702
Se 1.592 2.698 0.539
Se 3.819 5.818 6.262
Se 0.678 0.295 4.979
Br 1.857 2.382 7.521
Br 2.640 3.730 3.720
```

- energy relative to the elements, uncorrected (meV/atom) = -368
- calculated density (g/cm3) = 7.96

Record 3
Entry from the Alexandria database: an optimized crystal structure of WSe2Br (PBE). Values from VASP.

Geometry as Quantum ESPRESSO input:
```
&SYSTEM
  ibrav = 0, nat = 4, ntyp = 3
/
ATOMIC_SPECIES
Br 79.90 Br.upf
Se 78.96 Se.upf
W 183.84 W.upf
CELL_PARAMETERS angstrom
5.262 0.000 0.000
0.000 3.979 0.000
0.000 0.000 3.979
ATOMIC_POSITIONS angstrom
Br 2.631 0.000 1.990
Se 0.000 0.000 0.000
Se 0.000 1.990 1.990
W 2.631 1.990 0.000
```

- energy relative to the elements, uncorrected (meV/atom) = 1131
- relative energy among the computed polymorphs (meV per atom) = 1469.8
- calculated density (g/cm3) = 8.40

Record 4
Entry from the Alexandria database: an optimized crystal structure of WSeBr2 (PBE). Values from VASP.

Geometry as Quantum ESPRESSO input:
```
&SYSTEM
  ibrav = 0, nat = 4, ntyp = 3
/
ATOMIC_SPECIES
Br 79.90 Br.upf
Se 78.96 Se.upf
W 183.84 W.upf
CELL_PARAMETERS angstrom
-1.898 4.404 -1.330
-2.121 1.414 4.274
4.713 -1.481 -0.602
ATOMIC_POSITIONS angstrom
Br 0.000 0.000 0.000
Br -2.009 2.909 1.472
Se 0.291 1.421 2.572
W 0.403 2.916 -0.231
```

- energy relative to the elements, uncorrected (meV/atom) = 1167
- relative energy among the computed polymorphs (meV per atom) = 1367.0
- calculated density (g/cm3) = 9.07

Record 5
Entry from the Alexandria database: an optimized crystal structure of WSe2Br (PBE). Values from VASP.

Geometry as Quantum ESPRESSO input:
```
&SYSTEM
  ibrav = 0, nat = 4, ntyp = 3
/
ATOMIC_SPECIES
Br 79.90 Br.upf
Se 78.96 Se.upf
W 183.84 W.upf
CELL_PARAMETERS angstrom
3.410 0.000 0.000
0.000 2.699 -0.027
0.000 0.186 10.481
ATOMIC_POSITIONS angstrom
Br 1.705 2.164 7.840
Se 0.000 0.704 0.691
Se 0.000 0.739 4.536
W 1.705 0.721 2.613
```

- energy relative to the elements, uncorrected (meV/atom) = 117
- relative energy among the computed polymorphs (meV per atom) = 455.8
- calculated density (g/cm3) = 7.26

Record 6
Entry from the Alexandria database: an optimized crystal structure of WSe2Br (PBE). Values from VASP.

Geometry as Quantum ESPRESSO input:
```
&SYSTEM
  ibrav = 0, nat = 16, ntyp = 3
/
ATOMIC_SPECIES
W 183.84 W.upf
Se 78.96 Se.upf
Br 79.90 Br.upf
CELL_PARAMETERS angstrom
6.448 0.000 0.000
0.000 10.778 0.000
-0.236 0.000 6.320
ATOMIC_POSITIONS angstrom
W 3.666 1.419 0.438
W 3.666 9.358 0.438
W 3.548 6.808 3.598
W 3.548 3.969 3.598
Se 4.839 1.887 2.447
Se 4.839 8.890 2.447
Se 4.721 7.276 5.607
Se 4.721 3.501 5.607
Se 1.792 0.000 1.101
Se 1.674 5.389 4.261
Se 5.039 0.000 5.602
Se 5.157 5.389 2.442
Br 2.080 3.454 1.421
Br 2.080 7.324 1.421
Br 1.962 8.843 4.581
Br 1.962 1.935 4.581
```

- energy relative to the elements, uncorrected (meV/atom) = -338
- relative energy among the computed polymorphs (meV per atom) = 0.0
- calculated density (g/cm3) = 6.38

Copy entry 5 word for word.
Entry from the Alexandria database: an optimized crystal structure of WSe2Br (PBE). Values from VASP.

Geometry as Quantum ESPRESSO input:
```
&SYSTEM
  ibrav = 0, nat = 4, ntyp = 3
/
ATOMIC_SPECIES
Br 79.90 Br.upf
Se 78.96 Se.upf
W 183.84 W.upf
CELL_PARAMETERS angstrom
3.410 0.000 0.000
0.000 2.699 -0.027
0.000 0.186 10.481
ATOMIC_POSITIONS angstrom
Br 1.705 2.164 7.840
Se 0.000 0.704 0.691
Se 0.000 0.739 4.536
W 1.705 0.721 2.613
```

- energy relative to the elements, uncorrected (meV/atom) = 117
- relative energy among the computed polymorphs (meV per atom) = 455.8
- calculated density (g/cm3) = 7.26

Which of these has the highest energy relative to the elements, uncorrected? number 4